An optimized crystal structure of Li3Ni8O16, computed with GGA+U.

abc: 4.9011 6.4347 9.1382
angles: 93.91 93.41 95.05
Space group P-1 (No. 2)
Asymmetric unit:
Li: 0.0000 0.0000 0.0000
Li: 0.3909 0.3478 0.6509
Ni: 0.2449 0.1809 0.3054
Ni: 0.2477 0.4391 0.0604
Ni: 0.2489 0.9235 0.5606
Ni: 0.2528 0.6889 0.8218
O: 0.0924 0.4457 0.2404
O: 0.1003 0.6905 0.0067
O: 0.1151 0.1911 0.5029
O: 0.1146 0.9368 0.7751
O: 0.3894 0.6685 0.6360
O: 0.3900 0.1925 0.1067
O: 0.4006 0.4389 0.8725
O: 0.4126 0.9203 0.3681

Calculated values
The raw total energy comes out at -4.63 eV per atom. The calculated density comes out at 4.337 Mg/m³.